#P
Compound: LaThBi2
Source: Alexandria via LeMat-Bulk
Functional: PBE
Structure: relaxed

The structure in POSCAR format:
```
LaThBi2
1.0
-0.6673 -4.2432 -1.3692
3.4990 -2.8134 -0.4084
-0.0383 -4.6990 7.1590
La Bi Th
1 2 1
direct
0.6693 0.6693 0.9920
0.2492 0.2492 0.2523
0.0833 0.0833 0.7500
0.4981 0.4981 0.5056
```

Calculated values
- Space-group type: R3m (160)
- Crystal system: trigonal
- Density of states at the Fermi level: 2.3 states/eV per cell

=====

#Q
Compound: LaThBi2
Source: Alexandria via LeMat-Bulk
Functional: PBE
Structure: relaxed

The structure in POSCAR format:
```
LaThBi2
1.0
-2.6846 3.4255 1.4805
-1.8506 -3.5769 -2.2168
-1.9517 -7.3810 13.5388
La Th Bi
2 2 4
direct
0.3333 0.6667 0.7500
0.6667 0.3333 0.2500
0.0000 0.0000 0.0000
0.0000 0.0000 0.5000
0.3333 0.6667 0.3795
0.3333 0.6667 0.1205
0.6667 0.3333 0.8795
0.6667 0.3333 0.6205
```

Calculated values
- Space-group type: P6_3/mmc (194)
- Crystal system: hexagonal
- Density of states at the Fermi level: 5.6 states/eV per cell

=====

Most stable structure: #Q

=====

#P
Compound: La2ThBi
Source: Alexandria via LeMat-Bulk
Functional: PBE
Structure: relaxed

The structure in POSCAR format:
```
La2ThBi
1.0
-4.0192 -1.7455 2.3650
2.7139 -0.4863 4.2532
-1.2599 4.7220 1.3438
La Th Bi
2 1 1
direct
0.0000 0.5000 0.0000
0.0000 0.0000 0.5000
0.5000 0.5000 0.5000
0.5000 0.0000 0.0000
```

Calculated values
- Space-group type: P4/mmm (123)
- Crystal system: tetragonal
- Density of states at the Fermi level: 4.6 states/eV per cell

=====

#Q
Compound: La2ThBi
Source: Alexandria via LeMat-Bulk
Functional: PBE
Structure: relaxed

The structure in POSCAR format:
```
La2ThBi
1.0
4.1143 0.0000 0.0000
0.0000 4.1143 0.0000
0.0000 0.0000 7.8747
La Th Bi
2 1 1
direct
0.0000 0.0000 0.7770
0.0000 0.0000 0.2230
0.5000 0.5000 0.5000
0.5000 0.5000 0.0000
```

Calculated values
- Space-group type: P4/mmm (123)
- Crystal system: tetragonal
- Density of states at the Fermi level: 3.9 states/eV per cell

=====

Most stable structure: #P